An optimized crystal structure of BaCuCl4, computed with PBE.

Calculated values
DFT total energy: -3.64 eV/atom
SG: No. 36
Crystal system: orthorhombic

a = 8.8599 Å, b = 8.8599 Å, c = 6.5478 Å
α = 90.00°, β = 90.00°, γ = 145.06°
Sites, in units of the cell vectors:
Cl 0.6721 0.3279 0.7510
Cl 0.5210 0.4790 0.1648
Cl 0.2964 0.7035 0.7499
Cl 0.7035 0.2964 0.2499
Cl 0.4790 0.5210 0.6648
Cl 0.9218 0.0782 0.9756
Cl 0.3279 0.6721 0.2510
Cl 0.0782 0.9218 0.4756
Cu 0.5953 0.4047 0.4637
Cu 0.4047 0.5953 0.9637
Ba 0.8693 0.1307 0.5020
Ba 0.1307 0.8693 0.0020


An optimized crystal structure of Ba2ErCl7, computed with PBE.

Calculated values
DFT total energy: -4.57 eV/atom
Size of the total moment: 0.00 μB per formula unit
SG: No. 14
Crystal system: monoclinic

a = 6.8545 Å, b = 15.5734 Å, c = 10.5613 Å
α = 90.00°, β = 90.67°, γ = 90.00°
Sites, in units of the cell vectors:
Cl 0.9877 0.2569 0.1981
Cl 0.3722 0.0703 0.1237
Cl 0.5014 0.2286 0.7050
Cl 0.0137 0.6051 0.0864
Cl 0.2059 0.4602 0.2870
Cl 0.4986 0.7286 0.7950
Cl 0.2091 0.8608 0.0273
Cl 0.2059 0.0398 0.7870
Cl 0.6278 0.9297 0.8763
Cl 0.5014 0.2714 0.2050
Cl 0.4998 0.6045 0.0722
Cl 0.0123 0.7569 0.3019
Cl 0.2091 0.6392 0.5273
Cl 0.9877 0.2431 0.6981
Cl 0.7941 0.9602 0.2130
Cl 0.0137 0.8949 0.5864
Cl 0.7941 0.5398 0.7130
Cl 0.5002 0.3955 0.9278
Cl 0.0123 0.7431 0.8019
Cl 0.4998 0.8955 0.5722
Cl 0.4986 0.7714 0.2950
Cl 0.6278 0.5703 0.3763
Cl 0.9863 0.3949 0.9136
Cl 0.3722 0.4297 0.6237
Cl 0.7909 0.3608 0.4727
Cl 0.5002 0.1045 0.4278
Cl 0.9863 0.1051 0.4136
Cl 0.7909 0.1392 0.9727
Er 0.7181 0.1268 0.2182
Er 0.7181 0.3732 0.7182
Er 0.2819 0.6268 0.2818
Er 0.2819 0.8732 0.7818
Ba 0.2338 0.9392 0.3241
Ba 0.2344 0.2798 0.4507
Ba 0.7656 0.7798 0.0493
Ba 0.7662 0.0608 0.6759
Ba 0.7662 0.4392 0.1759
Ba 0.2344 0.2202 0.9507
Ba 0.2338 0.5608 0.8241
Ba 0.7656 0.7202 0.5493


An optimized crystal structure of BaErClO2, computed with PBE.

Calculated values
DFT total energy: -6.53 eV/atom
Size of the total moment: 0.00 μB per formula unit
SG: No. 63
Crystal system: orthorhombic

a = 7.1422 Å, b = 7.1422 Å, c = 5.7330 Å
α = 90.00°, β = 90.00°, γ = 131.02°
Sites, in units of the cell vectors:
Ba 0.3907 0.6093 0.7500
Ba 0.6093 0.3907 0.2500
O 0.7735 0.7735 0.5000
O 0.2265 0.2265 0.0000
O 0.7735 0.7735 0.0000
O 0.2265 0.2265 0.5000
Cl 0.7489 0.2511 0.7500
Cl 0.2511 0.7489 0.2500
Er 0.0659 0.9341 0.7500
Er 0.9341 0.0659 0.2500


An optimized crystal structure of Ba4ZnGa4S10Cl2, computed with PBE.

Calculated values
DFT total energy: -4.58 eV/atom
SG: No. 82
Crystal system: tetragonal

a = 9.6677 Å, b = 9.6677 Å, c = 9.6677 Å
α = 128.81°, β = 128.81°, γ = 75.31°
Sites, in units of the cell vectors:
S 0.0692 0.1787 0.7324
S 0.7113 0.7991 0.6537
S 0.9425 0.2887 0.0878
S 0.5749 0.0749 0.5000
S 0.6631 0.9308 0.1095
S 0.1453 0.0575 0.3463
S 0.8213 0.5536 0.8905
S 0.2009 0.8547 0.9122
S 0.9251 0.4251 0.5000
S 0.4464 0.3369 0.2676
Zn 0.0000 0.0000 0.0000
Ba 0.2402 0.6603 0.1199
Ba 0.3397 0.4595 0.5799
Ba 0.8796 0.7598 0.4201
Ba 0.5405 0.1204 0.8801
Ga 0.9395 0.1425 0.4124
Ga 0.7302 0.5272 0.5876
Ga 0.4728 0.0605 0.2030
Ga 0.8575 0.2698 0.7970
Cl 0.2500 0.7500 0.5000
Cl 0.5000 0.5000 0.0000